Record 1
Material: TlZnGa2
Method: DFT, PBE-GGA
State: relaxed

The space group is I-42d (No. 122) and the conventional cell measures 4.5936, 4.5936 and 17.4157 Å, with angles of 90.00, 90.00 and 90.00 degrees. Symmetry generates all atoms from Tl at (0.0000, 0.0000, 0.0000), Zn at (0.0000, 0.0000, 0.5000) and Ga at (0.1653, 0.2500, 0.6250).

As for the total magnetization: 0.000 Bohr magnetons per cell. For the energy above the most stable polymorph in this dataset, the calculation gives 0.110 eV per atom.

=====

Record 2
Material: SbMoCl2
Method: DFT, PBE-GGA
State: relaxed

The space group is Cmmm (No. 65) and the conventional cell measures 2.9963, 5.8785 and 12.3198 Å, with angles of 90.00, 90.00 and 90.00 degrees. Symmetry generates all atoms from Sb at (0.0000, 0.0000, 0.0000), Mo at (0.0000, 0.0000, 0.5000) and Cl at (0.0000, 0.5000, 0.3441).

The energy relative to the elements, uncorrected comes out at -24 meV/atom. As for the total magnetization: 2.542 Bohr magnetons per cell. For the energy above the most stable polymorph in this dataset, the calculation gives 0.279 eV per atom.

=====

Record 3
Material: KLa2Cl6
Method: DFT, PBE-GGA
State: relaxed

The space group is Fmmm (No. 69) and the conventional cell measures 5.1975, 13.3547 and 15.4901 Å, with angles of 90.00, 90.00 and 90.00 degrees. Symmetry generates all atoms from K at (0.0000, 0.0000, 0.0000), La at (0.0000, 0.0000, 0.3366), Cl at (0.0000, 0.1189, 0.1768) and Cl at (0.0000, 0.1225, 0.5000).

The energy relative to the elements, uncorrected comes out at -2067 meV/atom. As for the total magnetization: 3.152 Bohr magnetons per cell.